Entry 1:
{
  "formula": "RbLa2Mg2",
  "functional": "PBE",
  "state": "optimized geometry",
  "dos_at_fermi_per_ev_fu": 9.92,
  "magnetic_moment_mub_per_cell": 0.0,
  "delta_e_f_mev_per_atom": 193,
  "polymorph_energy_mev_per_atom": 32.9,
  "final_energy_ev_per_cell": -26.09,
  "lattice": [[10.310, 0.000, 0.000], [0.000, 10.310, 0.000], [0.000, 0.000, 3.464]],
  "species": ["Rb", "Rb", "La", "La", "La", "La", "Mg", "Mg", "Mg", "Mg"],
  "frac_coords": [[0.000, 0.000, 0.000], [0.500, 0.500, 0.000], [0.169, 0.331, 0.500], [0.331, 0.831, 0.500], [0.669, 0.169, 0.500], [0.831, 0.669, 0.500], [0.118, 0.618, 0.000], [0.382, 0.118, 0.000], [0.618, 0.882, 0.000], [0.882, 0.382, 0.000]]
}

Entry 2:
{
  "formula": "RbAsPtSe2",
  "functional": "PBE",
  "state": "optimized geometry",
  "dos_at_fermi_per_ev_fu": 5.09,
  "raw_formation_energy_ev_per_fu": -0.5,
  "magnetic_moment_mub_per_cell": 0.0,
  "polymorph_energy_mev_per_atom": 0.0,
  "final_energy_ev_per_cell": -19.12,
  "lattice": [[5.406, 0.000, 0.000], [0.000, 5.406, 0.000], [0.000, 0.000, 4.703]],
  "species": ["Rb", "As", "Pt", "Se", "Se"],
  "frac_coords": [[0.000, 0.000, 0.000], [0.500, 0.500, 0.000], [0.500, 0.500, 0.500], [0.000, 0.500, 0.500], [0.500, 0.000, 0.500]]
}

Entry 3:
{
  "formula": "ReRh2Br",
  "functional": "PBE",
  "state": "optimized geometry",
  "dos_at_fermi_per_ev_fu": 3.52,
  "raw_formation_energy_ev_per_fu": 1.3,
  "magnetic_moment_mub_per_cell": 0.0,
  "polymorph_energy_mev_per_atom": 23.6,
  "final_energy_ev_per_cell": -27.51,
  "lattice": [[1.429, 0.825, 9.101], [-1.429, 0.825, 9.101], [0.000, -1.651, 9.101]],
  "species": ["Re", "Rh", "Rh", "Br"],
  "frac_coords": [[0.000, 0.000, 0.000], [0.257, 0.257, 0.257], [0.743, 0.743, 0.743], [0.500, 0.500, 0.500]]
}

Entry 4:
{
  "formula": "ZnAgH2",
  "functional": "PBE",
  "state": "optimized geometry",
  "dos_at_fermi_per_ev_fu": 0.96,
  "magnetic_moment_mub_per_cell": 0.0,
  "polymorph_energy_mev_per_atom": 0.0,
  "final_energy_ev_per_cell": -18.79,
  "lattice": [[-2.216, 2.216, 4.500], [2.216, -2.216, 4.500], [2.216, 2.216, -4.500]],
  "species": ["Zn", "Zn", "Ag", "Ag", "H", "H", "H", "H"],
  "frac_coords": [[0.000, 0.000, 0.000], [0.750, 0.250, 0.500], [0.250, 0.750, 0.500], [0.500, 0.500, 0.000], [0.089, 0.625, 0.964], [0.375, 0.339, 0.464], [0.661, 0.125, 0.036], [0.875, 0.911, 0.536]]
}